No. 1
The following is a DFT calculation (PBE) of a geometry-optimized In2HgTe2 structure.

It has space group P4/mbm (No. 127), with a = 8.674 Å, b = 8.674 Å, c = 4.068 Å, α = 90.00°, β = 90.00° and γ = 90.00°. The asymmetric unit holds In at (0.144, 0.356, 0.000), Hg at (0.000, 0.000, 0.500) and Te at (0.157, 0.657, 0.500).

As for the energy above the most stable polymorph in this dataset: 113 meV per atom. The total moment is 0.00 Bohr magnetons per cell. As for the energy: -0.183 Ry/atom.

***

No. 2
The following is a DFT calculation (PBE) of a geometry-optimized InHg3Te4 structure.

It has space group Pmn2_1 (No. 31), with a = 9.706 Å, b = 8.342 Å, c = 7.567 Å, α = 90.00°, β = 90.00° and γ = 90.00°. The asymmetric unit holds In at (0.000, 0.168, 0.000), Hg at (0.000, 0.836, 0.506), Hg at (0.248, 0.668, 0.000), Te at (0.000, 0.171, 0.615), Te at (0.000, 0.836, 0.112) and Te at (0.249, 0.332, 0.110).

As for the energy above the most stable polymorph in this dataset: 14 meV per atom. The total moment is 0.00 Bohr magnetons per cell. As for the energy: -0.160 Ry/atom.

***

No. 3
The following is a DFT calculation (PBE) of a geometry-optimized InHg2Te structure.

It has space group C2/m (No. 12), with a = 6.861 Å, b = 11.430 Å, c = 3.250 Å, α = 90.00°, β = 115.96° and γ = 90.00°. The asymmetric unit holds In at (0.000, 0.000, 0.000), Hg at (0.250, 0.250, 0.500) and Te at (0.000, 0.500, 0.000).

As for the energy above the most stable polymorph in this dataset: 139 meV per atom. The total moment is 0.00 Bohr magnetons per cell. As for the energy: -0.117 Ry/atom.

***

No. 4
The following is a DFT calculation (PBE) of a geometry-optimized InHg2Te structure.

It has space group I-42d (No. 122), with a = 8.325 Å, b = 8.325 Å, c = 6.592 Å, α = 90.00°, β = 90.00° and γ = 90.00°. The asymmetric unit holds In at (0.000, 0.000, 0.000), Hg at (0.248, 0.750, 0.125) and Te at (0.000, 0.000, 0.500).

As for the energy above the most stable polymorph in this dataset: 79 meV per atom. The total moment is 0.00 Bohr magnetons per cell. As for the energy: -0.122 Ry/atom.

***

No. 5
The following is a DFT calculation (PBE) of a geometry-optimized In5Hg4Te structure.

It has space group C2/m (No. 12), with a = 8.541 Å, b = 4.232 Å, c = 16.008 Å, α = 90.00°, β = 94.51° and γ = 90.00°. The asymmetric unit holds In at (0.000, 0.000, 0.000), In at (0.098, 0.500, 0.813), In at (0.194, 0.000, 0.611), Hg at (0.104, 0.000, 0.286), Hg at (0.200, 0.500, 0.093) and Te at (0.000, 0.500, 0.500).

The total moment is 0.00 Bohr magnetons per cell. As for the energy: -0.136 Ry/atom.

***

No. 6
The following is a DFT calculation (PBE) of a geometry-optimized In5Hg2Te2 structure.

It has space group Ima2 (No. 46), with a = 23.852 Å, b = 6.817 Å, c = 6.984 Å, α = 90.00°, β = 90.00° and γ = 90.00°. The asymmetric unit holds In at (0.055, 0.130, 0.000), In at (0.150, 0.569, 0.271), In at (0.250, 0.228, 0.130), Hg at (0.000, 0.000, 0.596), Hg at (0.250, 0.728, 0.545) and Te at (0.136, 0.030, 0.327).

The total moment is 0.00 Bohr magnetons per cell. As for the energy: -0.173 Ry/atom.